Record 1
ThHBr | PBE | optimized geometry

Properties
**Total magnetic moment**: 0.00 μB/cell
**Space-group type**: Pmmn (59)
**Total energy**: -4.98 eV per atom
**Crystal system**: orthorhombic

The structure in CIF format:
```
data_ThHBr
_symmetry_space_group_name_H-M 'P 1'
_symmetry_Int_Tables_number 1
_cell_length_a 3.625
_cell_length_b 3.906
_cell_length_c 10.637
_cell_angle_alpha 90.00
_cell_angle_beta 90.00
_cell_angle_gamma 90.00
loop_
_symmetry_equiv_pos_as_xyz
'x,y,z'
loop_
_atom_site_label
_atom_site_type_symbol
_atom_site_fract_x
_atom_site_fract_y
_atom_site_fract_z
Th1 Th 0.250 0.250 0.133
Th2 Th 0.750 0.750 0.867
H1 H 0.250 0.750 0.013
H2 H 0.750 0.250 0.987
Br1 Br 0.250 0.750 0.340
Br2 Br 0.750 0.250 0.660
```

***

Record 2
ThHBr | PBE | optimized geometry

Properties
**Total magnetic moment**: 1.04 μB/cell
**Space-group type**: Pnma (62)
**Total energy**: -4.86 eV per atom
**Crystal system**: orthorhombic

The structure in CIF format:
```
data_ThHBr
_symmetry_space_group_name_H-M 'P 1'
_symmetry_Int_Tables_number 1
_cell_length_a 6.808
_cell_length_b 14.183
_cell_length_c 6.412
_cell_angle_alpha 90.00
_cell_angle_beta 90.00
_cell_angle_gamma 90.00
loop_
_symmetry_equiv_pos_as_xyz
'x,y,z'
loop_
_atom_site_label
_atom_site_type_symbol
_atom_site_fract_x
_atom_site_fract_y
_atom_site_fract_z
Th1 Th 0.004 0.250 0.250
Th2 Th 0.246 0.750 0.233
Th3 Th 0.254 0.250 0.733
Th4 Th 0.496 0.750 0.750
Th5 Th 0.504 0.250 0.250
Th6 Th 0.746 0.750 0.267
Th7 Th 0.754 0.250 0.767
Th8 Th 0.996 0.750 0.750
H1 H 0.246 0.677 0.553
H2 H 0.246 0.823 0.553
H3 H 0.254 0.177 0.053
H4 H 0.254 0.323 0.053
H5 H 0.746 0.677 0.947
H6 H 0.746 0.823 0.947
H7 H 0.754 0.177 0.447
H8 H 0.754 0.323 0.447
Br1 Br 0.246 0.585 0.945
Br2 Br 0.246 0.915 0.945
Br3 Br 0.254 0.085 0.445
Br4 Br 0.254 0.415 0.445
Br5 Br 0.746 0.585 0.555
Br6 Br 0.746 0.915 0.555
Br7 Br 0.754 0.085 0.055
Br8 Br 0.754 0.415 0.055
```

***

Record 3
ThH2Br2 | PBE | optimized geometry

Properties
**Total magnetic moment**: 0.00 μB/cell
**Space-group type**: R-3m (166)
**Total energy**: -4.65 eV per atom
**Crystal system**: trigonal

The structure in CIF format:
```
data_ThH2Br2
_symmetry_space_group_name_H-M 'P 1'
_symmetry_Int_Tables_number 1
_cell_length_a 3.870
_cell_length_b 3.870
_cell_length_c 25.177
_cell_angle_alpha 90.00
_cell_angle_beta 90.00
_cell_angle_gamma 120.00
loop_
_symmetry_equiv_pos_as_xyz
'x,y,z'
loop_
_atom_site_label
_atom_site_type_symbol
_atom_site_fract_x
_atom_site_fract_y
_atom_site_fract_z
Th1 Th 0.000 0.000 0.000
Th2 Th 0.333 0.667 0.667
Th3 Th 0.667 0.333 0.333
H1 H 0.000 0.000 0.315
H2 H 0.000 0.000 0.685
H3 H 0.333 0.667 0.351
H4 H 0.333 0.667 0.982
H5 H 0.667 0.333 0.018
H6 H 0.667 0.333 0.649
Br1 Br 0.000 0.000 0.421
Br2 Br 0.000 0.000 0.579
Br3 Br 0.333 0.667 0.087
Br4 Br 0.333 0.667 0.246
Br5 Br 0.667 0.333 0.754
Br6 Br 0.667 0.333 0.913
```

***

Record 4
ThH4Br5 | PBE | optimized geometry

Properties
**Total magnetic moment**: 0.00 μB/cell
**Space-group type**: I4 (79)
**Total energy**: -3.21 eV per atom
**Crystal system**: tetragonal

The structure in CIF format:
```
data_ThH4Br5
_symmetry_space_group_name_H-M 'P 1'
_symmetry_Int_Tables_number 1
_cell_length_a 6.632
_cell_length_b 6.632
_cell_length_c 6.632
_cell_angle_alpha 101.05
_cell_angle_beta 101.05
_cell_angle_gamma 128.08
loop_
_symmetry_equiv_pos_as_xyz
'x,y,z'
loop_
_atom_site_label
_atom_site_type_symbol
_atom_site_fract_x
_atom_site_fract_y
_atom_site_fract_z
Th1 Th 0.000 0.000 0.000
H1 H 0.110 0.908 0.363
H2 H 0.545 0.747 0.637
H3 H 0.747 0.110 0.201
H4 H 0.908 0.545 0.799
Br1 Br 0.191 0.420 0.426
Br2 Br 0.420 0.994 0.228
Br3 Br 0.508 0.508 0.000
Br4 Br 0.765 0.191 0.772
Br5 Br 0.994 0.765 0.574
```

***

Record 5
TiHBr2 | PBE | optimized geometry

Properties
**Total magnetic moment**: 1.69 μB/cell
**Space-group type**: R-3m (166)
**Total energy**: -3.36 eV per atom
**Crystal system**: trigonal

The structure in CIF format:
```
data_TiHBr2
_symmetry_space_group_name_H-M 'P 1'
_symmetry_Int_Tables_number 1
_cell_length_a 3.491
_cell_length_b 3.491
_cell_length_c 22.901
_cell_angle_alpha 90.00
_cell_angle_beta 90.00
_cell_angle_gamma 120.00
loop_
_symmetry_equiv_pos_as_xyz
'x,y,z'
loop_
_atom_site_label
_atom_site_type_symbol
_atom_site_fract_x
_atom_site_fract_y
_atom_site_fract_z
Ti1 Ti 0.000 0.000 0.000
Ti2 Ti 0.333 0.667 0.667
Ti3 Ti 0.667 0.333 0.333
H1 H 0.000 0.000 0.500
H2 H 0.333 0.667 0.167
H3 H 0.667 0.333 0.833
Br1 Br 0.000 0.000 0.103
Br2 Br 0.000 0.000 0.897
Br3 Br 0.333 0.667 0.563
Br4 Br 0.333 0.667 0.770
Br5 Br 0.667 0.333 0.230
Br6 Br 0.667 0.333 0.437
```

***

Record 6
Ti2HBr | PBE | optimized geometry

Properties
**Total magnetic moment**: 0.00 μB/cell
**Space-group type**: Fm-3m (225)
**Total energy**: -4.84 eV per atom
**Crystal system**: cubic

The structure in CIF format:
```
data_Ti2HBr
_symmetry_space_group_name_H-M 'P 1'
_symmetry_Int_Tables_number 1
_cell_length_a 6.058
_cell_length_b 6.058
_cell_length_c 6.058
_cell_angle_alpha 90.00
_cell_angle_beta 90.00
_cell_angle_gamma 90.00
loop_
_symmetry_equiv_pos_as_xyz
'x,y,z'
loop_
_atom_site_label
_atom_site_type_symbol
_atom_site_fract_x
_atom_site_fract_y
_atom_site_fract_z
Ti1 Ti 0.250 0.250 0.250
Ti2 Ti 0.250 0.250 0.750
Ti3 Ti 0.250 0.750 0.250
Ti4 Ti 0.250 0.750 0.750
Ti5 Ti 0.750 0.250 0.250
Ti6 Ti 0.750 0.250 0.750
Ti7 Ti 0.750 0.750 0.250
Ti8 Ti 0.750 0.750 0.750
H1 H 0.000 0.000 0.000
H2 H 0.000 0.500 0.500
H3 H 0.500 0.000 0.500
H4 H 0.500 0.500 0.000
Br1 Br 0.000 0.000 0.500
Br2 Br 0.000 0.500 0.000
Br3 Br 0.500 0.000 0.000
Br4 Br 0.500 0.500 0.500
```

***

Record 7
TiH2Br3 | PBE | optimized geometry

Properties
**Total magnetic moment**: 0.79 μB/cell
**Space-group type**: P6_3/mmc (194)
**Total energy**: -4.09 eV per atom
**Crystal system**: hexagonal

The structure in CIF format:
```
data_TiH2Br3
_symmetry_space_group_name_H-M 'P 1'
_symmetry_Int_Tables_number 1
_cell_length_a 7.693
_cell_length_b 7.693
_cell_length_c 5.987
_cell_angle_alpha 90.00
_cell_angle_beta 90.00
_cell_angle_gamma 120.00
loop_
_symmetry_equiv_pos_as_xyz
'x,y,z'
loop_
_atom_site_label
_atom_site_type_symbol
_atom_site_fract_x
_atom_site_fract_y
_atom_site_fract_z
Ti1 Ti 0.000 0.000 0.000
Ti2 Ti 0.000 0.000 0.500
H1 H 0.333 0.667 0.187
H2 H 0.333 0.667 0.313
H3 H 0.667 0.333 0.687
H4 H 0.667 0.333 0.813
Br1 Br 0.157 0.314 0.750
Br2 Br 0.157 0.843 0.750
Br3 Br 0.314 0.157 0.250
Br4 Br 0.686 0.843 0.750
Br5 Br 0.843 0.157 0.250
Br6 Br 0.843 0.686 0.250
```

***

Record 8
TiHBr2 | PBE | optimized geometry

Properties
**Total magnetic moment**: 11.99 μB/cell
**Space-group type**: Fm-3m (225)
**Total energy**: -3.63 eV per atom
**Crystal system**: cubic

The structure in CIF format:
```
data_TiHBr2
_symmetry_space_group_name_H-M 'P 1'
_symmetry_Int_Tables_number 1
_cell_length_a 6.698
_cell_length_b 6.698
_cell_length_c 6.698
_cell_angle_alpha 90.00
_cell_angle_beta 90.00
_cell_angle_gamma 90.00
loop_
_symmetry_equiv_pos_as_xyz
'x,y,z'
loop_
_atom_site_label
_atom_site_type_symbol
_atom_site_fract_x
_atom_site_fract_y
_atom_site_fract_z
Ti1 Ti 0.000 0.000 0.000
Ti2 Ti 0.000 0.500 0.500
Ti3 Ti 0.500 0.000 0.500
Ti4 Ti 0.500 0.500 0.000
H1 H 0.000 0.000 0.500
H2 H 0.000 0.500 0.000
H3 H 0.500 0.000 0.000
H4 H 0.500 0.500 0.500
Br1 Br 0.250 0.250 0.250
Br2 Br 0.250 0.250 0.750
Br3 Br 0.250 0.750 0.250
Br4 Br 0.250 0.750 0.750
Br5 Br 0.750 0.250 0.250
Br6 Br 0.750 0.250 0.750
Br7 Br 0.750 0.750 0.250
Br8 Br 0.750 0.750 0.750
```

***

Record 9
TiH2Br | PBE | optimized geometry

Properties
**Total magnetic moment**: 4.77 μB/cell
**Space-group type**: Fm-3m (225)
**Total energy**: -3.53 eV per atom
**Crystal system**: cubic

The structure in CIF format:
```
data_TiH2Br
_symmetry_space_group_name_H-M 'P 1'
_symmetry_Int_Tables_number 1
_cell_length_a 5.719
_cell_length_b 5.719
_cell_length_c 5.719
_cell_angle_alpha 90.00
_cell_angle_beta 90.00
_cell_angle_gamma 90.00
loop_
_symmetry_equiv_pos_as_xyz
'x,y,z'
loop_
_atom_site_label
_atom_site_type_symbol
_atom_site_fract_x
_atom_site_fract_y
_atom_site_fract_z
Ti1 Ti 0.000 0.000 0.000
Ti2 Ti 0.000 0.500 0.500
Ti3 Ti 0.500 0.000 0.500
Ti4 Ti 0.500 0.500 0.000
H1 H 0.250 0.250 0.250
H2 H 0.250 0.250 0.750
H3 H 0.250 0.750 0.250
H4 H 0.250 0.750 0.750
H5 H 0.750 0.250 0.250
H6 H 0.750 0.250 0.750
H7 H 0.750 0.750 0.250
H8 H 0.750 0.750 0.750
Br1 Br 0.000 0.000 0.500
Br2 Br 0.000 0.500 0.000
Br3 Br 0.500 0.000 0.000
Br4 Br 0.500 0.500 0.500
```

***

Record 10
TiHBr2 | PBE | optimized geometry

Properties
**Total magnetic moment**: 12.00 μB/cell
**Space-group type**: I-42d (122)
**Total energy**: -3.70 eV per atom
**Crystal system**: tetragonal

The structure in CIF format:
```
data_TiHBr2
_symmetry_space_group_name_H-M 'P 1'
_symmetry_Int_Tables_number 1
_cell_length_a 7.321
_cell_length_b 7.321
_cell_length_c 8.801
_cell_angle_alpha 90.00
_cell_angle_beta 90.00
_cell_angle_gamma 90.00
loop_
_symmetry_equiv_pos_as_xyz
'x,y,z'
loop_
_atom_site_label
_atom_site_type_symbol
_atom_site_fract_x
_atom_site_fract_y
_atom_site_fract_z
Ti1 Ti 0.000 0.000 0.000
Ti2 Ti 0.000 0.500 0.250
Ti3 Ti 0.500 0.000 0.750
Ti4 Ti 0.500 0.500 0.500
H1 H 0.000 0.000 0.500
H2 H 0.000 0.500 0.750
H3 H 0.500 0.000 0.250
H4 H 0.500 0.500 0.000
Br1 Br 0.194 0.250 0.125
Br2 Br 0.250 0.694 0.375
Br3 Br 0.250 0.806 0.875
Br4 Br 0.306 0.250 0.625
Br5 Br 0.694 0.750 0.625
Br6 Br 0.750 0.194 0.875
Br7 Br 0.750 0.306 0.375
Br8 Br 0.806 0.750 0.125
```

***

Record 11
TiHBr2 | PBE | optimized geometry

Properties
**Total magnetic moment**: 3.89 μB/cell
**Space-group type**: R-3m (166)
**Total energy**: -3.85 eV per atom
**Crystal system**: trigonal

The structure in CIF format:
```
data_TiHBr2
_symmetry_space_group_name_H-M 'P 1'
_symmetry_Int_Tables_number 1
_cell_length_a 3.515
_cell_length_b 3.515
_cell_length_c 26.481
_cell_angle_alpha 90.00
_cell_angle_beta 90.00
_cell_angle_gamma 120.00
loop_
_symmetry_equiv_pos_as_xyz
'x,y,z'
loop_
_atom_site_label
_atom_site_type_symbol
_atom_site_fract_x
_atom_site_fract_y
_atom_site_fract_z
Ti1 Ti 0.000 0.000 0.000
Ti2 Ti 0.333 0.667 0.667
Ti3 Ti 0.667 0.333 0.333
H1 H 0.000 0.000 0.500
H2 H 0.333 0.667 0.167
H3 H 0.667 0.333 0.833
Br1 Br 0.000 0.000 0.396
Br2 Br 0.000 0.000 0.604
Br3 Br 0.333 0.667 0.063
Br4 Br 0.333 0.667 0.270
Br5 Br 0.667 0.333 0.730
Br6 Br 0.667 0.333 0.937
```

***

Record 12
Ti7HBr12 | PBE | optimized geometry

Properties
**Total magnetic moment**: 1.11 μB/cell
**Space-group type**: R-3 (148)
**Total energy**: -4.98 eV per atom
**Crystal system**: trigonal

The structure in CIF format:
```
data_Ti7HBr12
_symmetry_space_group_name_H-M 'P 1'
_symmetry_Int_Tables_number 1
_cell_length_a 8.559
_cell_length_b 8.559
_cell_length_c 8.559
_cell_angle_alpha 108.45
_cell_angle_beta 108.45
_cell_angle_gamma 108.45
loop_
_symmetry_equiv_pos_as_xyz
'x,y,z'
loop_
_atom_site_label
_atom_site_type_symbol
_atom_site_fract_x
_atom_site_fract_y
_atom_site_fract_z
Ti1 Ti 0.000 0.000 0.000
Ti2 Ti 0.239 0.467 0.411
Ti3 Ti 0.411 0.239 0.467
Ti4 Ti 0.467 0.411 0.239
Ti5 Ti 0.533 0.589 0.761
Ti6 Ti 0.589 0.761 0.533
Ti7 Ti 0.761 0.533 0.589
H1 H 0.500 0.500 0.500
Br1 Br 0.049 0.121 0.345
Br2 Br 0.121 0.345 0.049
Br3 Br 0.211 0.571 0.716
Br4 Br 0.284 0.789 0.429
Br5 Br 0.345 0.049 0.121
Br6 Br 0.429 0.284 0.789
Br7 Br 0.571 0.716 0.211
Br8 Br 0.655 0.951 0.879
Br9 Br 0.716 0.211 0.571
Br10 Br 0.789 0.429 0.284
Br11 Br 0.879 0.655 0.951
Br12 Br 0.951 0.879 0.655
```